[1]
Below is a geometry-optimized Ce3NdTh2Sb6 structure, with properties calculated at the GGA-PBE level.

Cell: 7.797 7.797 7.835 Å, 99.54 99.54 120.00°
Fractional coordinates of all 12 atoms:
Ce  0.166  0.834  0.500
Ce  0.834  0.166  0.500
Ce  0.500  0.500  0.500
Nd  0.000  0.000  0.000
Th  0.333  0.667  0.000
Th  0.667  0.333  0.000
Sb  0.916  0.582  0.749
Sb  0.749  0.749  0.251
Sb  0.084  0.418  0.251
Sb  0.582  0.916  0.749
Sb  0.251  0.251  0.749
Sb  0.418  0.084  0.251

Results
The calculation puts the density of states at the Fermi level at 23.31 states/eV/cell. The calculation puts the uncorrected formation energy at -1.0413 eV per atom. The calculation puts the total magnetic moment at 2.9 μB/f.u. As for the volume: 389.1 Å³/f.u. The space group is C2/m.



[2]
Below is a geometry-optimized ZnBBr2 structure, with properties calculated at the GGA-PBE level.

Cell: 9.832 9.832 9.832 Å, 21.05 21.05 21.05°
Fractional coordinates of all 4 atoms:
Zn  0.500  0.500  0.500
B  0.000  0.000  0.000
Br  0.937  0.937  0.937
Br  0.063  0.063  0.063

Results
The calculation puts the density of states at the Fermi level at 2.33 states/eV/cell. The calculation puts the excess energy over the best structure of this formula in the dataset at 0 meV per atom. The calculation puts the uncorrected formation energy at 0.6275 eV per atom. The calculation puts the total magnetic moment at 0.0 μB/f.u. As for the volume: 107.4 Å³/f.u. The space group is R-3m.



[3]
Below is a geometry-optimized Ba2SrMn structure, with properties calculated at the GGA-PBE level.

Cell: 6.149 6.149 4.840 Å, 90.00 90.00 90.00°
Fractional coordinates of all 4 atoms:
Ba  0.000  0.000  0.000
Ba  0.500  0.500  0.000
Mn  0.500  0.000  0.500
Sr  0.000  0.500  0.500

Results
The calculation puts the density of states at the Fermi level at 6.99 states/eV/cell. As for the formation energy: 470 meV per atom. The calculation puts the excess energy over the best structure of this formula in the dataset at 150 meV per atom. The calculation puts the total magnetic moment at 4.5 μB/f.u. As for the volume: 183.0 Å³/f.u. The space group is P4/mmm.



[4]
Below is a geometry-optimized SrNdIn2Se4 structure, with properties calculated at the GGA-PBE level.

Cell: 4.311 7.675 7.662 Å, 71.31 90.00 90.00°
Fractional coordinates of all 8 atoms:
Sr  0.500  0.500  0.000
Nd  0.000  0.500  0.500
In  0.000  0.000  0.000
In  0.500  0.000  0.500
Se  0.000  0.743  0.732
Se  0.000  0.257  0.268
Se  0.500  0.732  0.274
Se  0.500  0.268  0.726

Results
The calculation puts the density of states at the Fermi level at 4.02 states/eV/cell. The calculation puts the uncorrected formation energy at -1.1948 eV per atom. The calculation puts the total magnetic moment at 0.0 μB/f.u. As for the volume: 240.2 Å³/f.u. The space group is P2/m.



[5]
Below is a geometry-optimized CuCl3 structure, with properties calculated at the GGA-PBE level.

Cell: 13.662 13.662 3.646 Å, 90.00 90.00 134.09°
Fractional coordinates of all 16 atoms:
Cu  0.185  0.815  0.000
Cu  0.815  0.185  0.000
Cu  0.708  0.708  0.000
Cu  0.292  0.292  0.000
Cl  0.133  0.867  0.500
Cl  0.867  0.133  0.500
Cl  0.695  0.538  0.000
Cl  0.305  0.462  0.000
Cl  0.462  0.305  0.000
Cl  0.538  0.695  0.000
Cl  0.832  0.832  0.500
Cl  0.168  0.168  0.500
Cl  0.117  0.612  0.000
Cl  0.883  0.388  0.000
Cl  0.388  0.883  0.000
Cl  0.612  0.117  0.000

Results
The calculation puts the density of states at the Fermi level at 18.17 states/eV/cell. The calculation puts the uncorrected formation energy at -0.2139 eV per atom. The calculation puts the total magnetic moment at 0.3 μB/f.u. As for the volume: 122.2 Å³/f.u. The space group is Cmmm.



[6]
Below is a geometry-optimized Y2InAs2 structure, with properties calculated at the GGA-PBE level.

Cell: 7.919 7.919 3.817 Å, 90.00 90.00 90.00°
Fractional coordinates of all 10 atoms:
Y  0.157  0.657  0.500
Y  0.657  0.843  0.500
Y  0.843  0.343  0.500
Y  0.343  0.157  0.500
As  0.354  0.854  0.000
As  0.854  0.646  0.000
As  0.646  0.146  0.000
As  0.146  0.354  0.000
In  0.000  0.000  0.000
In  0.500  0.500  0.000

Results
The calculation puts the density of states at the Fermi level at 4.01 states/eV/cell. As for the formation energy: -989 meV per atom. The calculation puts the excess energy over the best structure of this formula in the dataset at 0 meV per atom. The calculation puts the total magnetic moment at 0.0 μB/f.u. As for the volume: 119.7 Å³/f.u. The space group is P4/mbm.